Below is crystalline Ba2TaCoO6 at its relaxed geometry, with properties calculated at the PBEsol level.

Properties
The space-group type is Fm-3m, No. 225. The calculation puts the total energy at -8.089 eV per atom. As for the formation energy from raw total energies: -2.481 eV/atom. The value obtained for the density of states at the Fermi level is 0.123 states/eV per cell. The volume is 124 Å³/cell. The total magnetization comes out at 0.0 μB per formula unit.

abc: 5.6013 5.6013 5.6013
angles: 60.00 60.00 60.00
Last column: nearest neighbours and their distance in Å.
Sites, in units of the cell vectors:
Co (0.5000, 0.5000, 0.5000)  6 O 1.96
Ba (0.7500, 0.7500, 0.7500)  12 O 2.80
Ba (0.2500, 0.2500, 0.2500)  12 O 2.80
O (0.7474, 0.2526, 0.7474)  1 Co 1.96, 1 Ta 2.00
O (0.7474, 0.2526, 0.2526)  1 Co 1.96, 1 Ta 2.00
O (0.7474, 0.7474, 0.2526)  1 Co 1.96, 1 Ta 2.00
O (0.2526, 0.7474, 0.2526)  1 Co 1.96, 1 Ta 2.00
O (0.2526, 0.2526, 0.7474)  1 Co 1.96, 1 Ta 2.00
O (0.2526, 0.7474, 0.7474)  1 Co 1.96, 1 Ta 2.00
Ta (0.0000, 0.0000, 0.0000)  6 O 2.00